First-principles (PBE) data for a relaxed Tb4Dy5Ag crystal, as listed in the Alexandria database.

Cell: 3.550 3.550 23.997 Å, 90.00 90.00 90.00°
Element x y z (fractional)
Ag1 0.000 0.000 0.000
Tb1 0.000 0.000 0.395
Tb2 0.000 0.000 0.814
Dy1 0.500 0.500 0.080
Dy2 0.500 0.500 0.710
Dy3 0.500 0.500 0.920
Tb3 0.000 0.000 0.605
Dy4 0.500 0.500 0.290
Dy5 0.500 0.500 0.500
Tb4 0.000 0.000 0.186

Output
* SG: P4/mmm, No. 123
* formation energy: -0.043 eV/atom
* crystal system: tetragonal
* E_tot: -4.481 eV per atom